[1]
In2GaAu5 after structural relaxation, computed with PBE.

Calculated values
Calculated total energy (eV per atom): -3.248
Polymorph energy (0 for the lowest one) (meV/atom): 0.0
Space group: P1, No. 1
N(E_F) (states/eV/cell): 2.585

Lattice parameters (Å, degrees): 5.5237 5.5268 5.9114 104.46 106.83 99.24
With the nearest neighbours (Å) after each atom.
Sites, in units of the cell vectors:
In  0.0000  0.0000  0.0000  6 Au 2.80-3.03
In  0.3560  0.9775  0.6167  5 Au 2.86-2.93
Ga  0.9200  0.4073  0.6031  7 Au 2.71-3.03
Au  0.3541  0.4308  0.4638  2 Ga 2.75-3.03, 3 In 2.87-3.03, 4 Au 2.87-2.99
Au  0.4011  0.5444  0.9780  1 Ga 2.77, 6 Au 2.81-2.99
Au  0.5650  0.1109  0.1476  1 Ga 2.74, 3 In 2.86-2.90, 5 Au 2.87-2.99
Au  0.7925  0.8351  0.4757  2 Ga 2.79-2.98, 3 In 2.82-2.93, 4 Au 2.89-2.99
Au  0.9249  0.5189  0.0777  1 Ga 2.71, 2 In 2.80-2.91, 5 Au 2.81-2.98

[2]
ErTh4Tl5 after structural relaxation, computed with PBE.

Calculated values
Calculated total energy (eV per atom): -4.783
Space group: P4/mmm, No. 123
N(E_F) (states/eV/cell): 12.323

Lattice parameters (Å, degrees): 3.5550 3.5550 22.7176 90.00 90.00 90.00
With the nearest neighbours (Å) after each atom.
Sites, in units of the cell vectors:
Er  0.0000  0.0000  0.0000  8 Tl 3.28, 4 Er 3.56
Th  0.0000  0.0000  0.1942  8 Tl 3.42, 4 Th 3.56
Th  0.0000  0.0000  0.3978  8 Tl 3.41-3.42, 4 Th 3.56
Th  0.0000  0.0000  0.6022  8 Tl 3.41-3.42, 4 Th 3.56
Th  0.0000  0.0000  0.8058  8 Tl 3.42, 4 Th 3.56
Tl  0.5000  0.5000  0.0925  4 Er 3.28, 4 Th 3.42, 4 Tl 3.56
Tl  0.5000  0.5000  0.2961  8 Th 3.41-3.42, 4 Tl 3.56
Tl  0.5000  0.5000  0.5000  8 Th 3.42, 4 Tl 3.56
Tl  0.5000  0.5000  0.7039  8 Th 3.41-3.42, 4 Tl 3.56
Tl  0.5000  0.5000  0.9075  4 Er 3.28, 4 Th 3.42, 4 Tl 3.56